4
Lattice="-1.089 -2.688 0.020 3.092 -1.260 -0.971 1.616 0.940 3.928" Properties=species:S:1:pos:R:3 comment="BeTcBRu, optimized geometry, DFT GGA-PBE" sg="No. 38" magnetic_moment_mub_per_cell=0.0 delta_e_f_ev_per_atom=-0.247 pbc="T T T"
Be 0.921 -0.347 3.387
Tc 1.765 -2.261 2.329
B 1.153 -2.031 0.080
Ru 0.308 -0.116 1.130